{
  "formula": "Pr6CuOs2I3",
  "functional": "PBE-GGA",
  "state": "optimized geometry",
  "dos_ef_per_ev_atom": 0.282,
  "sg": "C2/m (12)",
  "total_magnetization_mub_per_cell": 0.0,
  "density_g_cm3": 7.23,
  "total_energy_ev_per_atom": -5.576,
  "lattice_angstrom": [[7.339, -0.001, 0.001], [-3.668, 6.356, 0.001], [-1.223, -2.118, 8.227]],
  "species": ["Pr", "Pr", "Pr", "Pr", "Pr", "Pr", "Os", "Os", "I", "I", "I", "Cu"],
  "frac_coords": [[0.713, 0.713, 0.187], [0.412, 0.063, 0.187], [0.063, 0.412, 0.187], [0.937, 0.588, 0.813], [0.287, 0.287, 0.813], [0.588, 0.937, 0.813], [0.667, 0.333, 0.000], [0.333, 0.667, 0.000], [0.834, 0.166, 0.500], [0.500, 0.500, 0.500], [0.166, 0.834, 0.500], [0.000, 0.000, 0.000]]
}

=====

{
  "formula": "CuOsRu2I",
  "functional": "PBE-GGA",
  "state": "optimized geometry",
  "dos_ef_per_ev_atom": 1.348,
  "sg": "P4/mmm (123)",
  "total_magnetization_mub_per_cell": 0.9,
  "density_g_cm3": 9.08,
  "total_energy_ev_per_atom": -5.607,
  "lattice_angstrom": [[4.733, 0.000, 0.000], [0.000, 4.759, 0.000], [0.000, 0.000, 4.733]],
  "species": ["Ru", "Ru", "I", "Cu", "Os"],
  "frac_coords": [[0.500, 0.000, 0.000], [0.000, 0.000, 0.500], [0.500, 0.500, 0.500], [0.000, 0.500, 0.000], [0.000, 0.000, 0.000]]
}

=====

{
  "formula": "CuSbOsI2",
  "functional": "PBE-GGA",
  "state": "optimized geometry",
  "de_polymorph_ev_per_fu": 0.00,
  "dos_ef_per_ev_atom": 1.042,
  "sg": "P4/mmm (123)",
  "total_magnetization_mub_per_cell": 0.0,
  "density_g_cm3": 6.73,
  "lattice_angstrom": [[5.580, 0.000, 0.000], [0.000, 5.580, 0.000], [0.000, 0.000, 4.988]],
  "species": ["Os", "I", "I", "Sb", "Cu"],
  "frac_coords": [[0.000, 0.000, 0.000], [0.000, 0.500, 0.000], [0.500, 0.000, 0.000], [0.000, 0.000, 0.500], [0.500, 0.500, 0.500]]
}

=====

{
  "formula": "ScCuOsI2",
  "functional": "PBE-GGA",
  "state": "optimized geometry",
  "dos_ef_per_ev_atom": 0.449,
  "sg": "P4/mmm (123)",
  "total_magnetization_mub_per_cell": 2.0,
  "density_g_cm3": 5.64,
  "total_energy_ev_per_atom": -3.921,
  "lattice_angstrom": [[5.694, 0.000, 0.000], [0.000, 5.694, 0.000], [0.000, 0.000, 5.019]],
  "species": ["Cu", "Sc", "I", "I", "Os"],
  "frac_coords": [[0.500, 0.500, 0.500], [0.000, 0.000, 0.000], [0.000, 0.500, 0.000], [0.500, 0.000, 0.000], [0.000, 0.000, 0.500]]
}

=====

{
  "formula": "CuTeOsI2",
  "functional": "PBE-GGA",
  "state": "optimized geometry",
  "de_polymorph_ev_per_fu": 0.00,
  "dos_ef_per_ev_atom": 0.652,
  "sg": "P4/mmm (123)",
  "total_magnetization_mub_per_cell": 0.0,
  "density_g_cm3": 6.67,
  "lattice_angstrom": [[-1.335, 2.660, 4.808], [-5.368, -1.689, -0.556], [1.027, -4.106, 2.557]],
  "species": ["Os", "Te", "I", "I", "Cu"],
  "frac_coords": [[0.000, 0.000, 0.000], [0.000, 0.000, 0.500], [0.500, 0.000, 0.000], [0.000, 0.500, 0.000], [0.500, 0.500, 0.500]]
}

=====

{
  "formula": "CuPI2",
  "functional": "PBE-GGA",
  "state": "optimized geometry",
  "de_polymorph_ev_per_fu": 0.63,
  "dos_ef_per_ev_atom": 0.085,
  "sg": "I-42d (122)",
  "total_magnetization_mub_per_cell": 0.0,
  "density_g_cm3": 4.74,
  "lattice_angstrom": [[-4.318, -0.314, -3.522], [3.312, -2.304, -3.856], [-2.239, -8.427, -0.927]],
  "species": ["I", "I", "I", "I", "Cu", "Cu", "P", "P"],
  "frac_coords": [[0.632, 0.125, 0.250], [0.875, 0.882, 0.750], [0.375, 0.368, 0.750], [0.118, 0.625, 0.250], [0.750, 0.250, 0.500], [0.000, 0.000, 0.000], [0.250, 0.750, 0.500], [0.500, 0.500, 0.000]]
}

=====

Which formula does entry 2 have? CuOsRu2I